Record 1
# SnSbTe2Ir

Crystalline SnSbTe2Ir at its relaxed geometry (PBE, Alexandria).

Structure (POSCAR):
```
SnSbTe2Ir
1.0
5.502 0.000 0.000
0.000 5.502 0.000
0.000 0.000 4.938
Sn Sb Te Ir
1 1 2 1
direct
0.000 0.000 0.000 Sn
0.500 0.500 0.000 Sb
0.000 0.500 0.500 Te
0.500 0.000 0.500 Te
0.500 0.500 0.500 Ir
```

Summary:
Density of states at the Fermi level, states/eV per atom: 1.04
Energy relative to the elements, uncorrected, eV/atom: 0.36
Magnetization, Bohr magnetons per cell: 0.00
Total DFT energy (no corrections), eV/atom: -4.290
Offset from the most stable computed form, eV per formula unit: 0.00

Record 2
# VSnSb2Ir

Crystalline VSnSb2Ir at its relaxed geometry (PBE, Alexandria).

Structure (POSCAR):
```
VSnSb2Ir
1.0
5.429 0.000 0.000
0.000 5.429 0.000
0.000 0.000 4.940
V Sn Sb Ir
1 1 2 1
direct
0.000 0.000 0.000 V
0.000 0.000 0.500 Sn
0.000 0.500 0.500 Sb
0.500 0.000 0.500 Sb
0.500 0.500 0.000 Ir
```

Summary:
Density of states at the Fermi level, states/eV per atom: 1.05
Energy relative to the elements, uncorrected, eV/atom: 1.75
Magnetization, Bohr magnetons per cell: 2.75
Total DFT energy (no corrections), eV/atom: -4.294
Offset from the most stable computed form, eV per formula unit: 3.79

Record 3
# VSnSb2Ir

Crystalline VSnSb2Ir at its relaxed geometry (PBE, Alexandria).

Structure (POSCAR):
```
VSnSb2Ir
1.0
5.226 0.000 0.000
0.000 5.226 0.000
0.000 0.000 5.038
V Sn Sb Ir
1 1 2 1
direct
0.000 0.000 0.000 V
0.500 0.500 0.000 Sn
0.000 0.500 0.500 Sb
0.500 0.000 0.500 Sb
0.500 0.500 0.500 Ir
```

Summary:
Density of states at the Fermi level, states/eV per atom: 1.85
Energy relative to the elements, uncorrected, eV/atom: 0.99
Magnetization, Bohr magnetons per cell: 0.11
Total DFT energy (no corrections), eV/atom: -5.051
Offset from the most stable computed form, eV per formula unit: 0.00

Record 4
# SrSb3Ir

Crystalline SrSb3Ir at its relaxed geometry (PBE, Alexandria).

Structure (POSCAR):
```
SrSb3Ir
1.0
5.767 0.000 0.000
0.000 5.767 0.000
0.000 0.000 5.767
Sr Sb Ir
1 3 1
direct
0.000 0.000 0.000 Sr
0.000 0.000 0.500 Sb
0.000 0.500 0.000 Sb
0.500 0.000 0.000 Sb
0.500 0.500 0.500 Ir
```

Summary:
Density of states at the Fermi level, states/eV per atom: 1.64
Energy relative to the elements, uncorrected, eV/atom: 1.84
Magnetization, Bohr magnetons per cell: 0.00
Total DFT energy (no corrections), eV/atom: -2.737
Offset from the most stable computed form, eV per formula unit: 11.48